# ScFeAs2O8

Crystalline ScFeAs2O8 at its relaxed geometry (PBE+U, Alexandria).

```
ScFeAs2O8
1.0
-2.067 2.468 -4.669
-3.747 -0.433 4.236
4.273 3.233 1.859
Sc Fe As O
1 1 2 8
Direct
0.000 0.000 0.000
0.250 0.750 0.500
0.750 0.250 0.500
0.500 0.500 0.000
0.375 0.061 0.313
0.312 0.502 0.190
0.312 0.123 0.810
0.748 0.061 0.687
0.877 0.688 0.190
0.939 0.252 0.313
0.939 0.625 0.687
0.498 0.688 0.810
```

Electronic total energy = -6.785 eV per atom
Spin magnetization = 5.05 μB per formula unit